This record from the Alexandria database describes a geometry-optimized DyLuAlRh structure. The functional is GGA-PBE. Values from VASP.

Structure (Quantum ESPRESSO input):
```
&SYSTEM
  ibrav = 0, nat = 4, ntyp = 4
/
ATOMIC_SPECIES
Dy 162.50 Dy.upf
Lu 174.97 Lu.upf
Al 26.98 Al.upf
Rh 102.91 Rh.upf
CELL_PARAMETERS angstrom
0.000 3.492 3.492
3.492 0.000 3.492
3.492 3.492 0.000
ATOMIC_POSITIONS crystal
Dy 0.000 0.000 0.000
Lu 0.500 0.500 0.500
Al 0.250 0.250 0.250
Rh 0.750 0.750 0.750
```

Output
As for the calculated volume: 21.3 A^3/atom. The calculation puts the formation enthalpy at 0 K at -595 meV per atom. Its space group is F-43m. The total energy is -5.649 eV/atom.



This record from the Alexandria database describes a geometry-optimized DyLuAlRu structure. The functional is GGA-PBE. Values from VASP.

Structure (Quantum ESPRESSO input):
```
&SYSTEM
  ibrav = 0, nat = 4, ntyp = 4
/
ATOMIC_SPECIES
Dy 162.50 Dy.upf
Lu 174.97 Lu.upf
Al 26.98 Al.upf
Ru 101.07 Ru.upf
CELL_PARAMETERS angstrom
0.000 3.466 3.466
3.466 0.000 3.466
3.466 3.466 0.000
ATOMIC_POSITIONS crystal
Dy 0.000 0.000 0.000
Lu 0.500 0.500 0.500
Al 0.250 0.250 0.250
Ru 0.750 0.750 0.750
```

Output
As for the calculated volume: 20.8 A^3/atom. The calculation puts the formation enthalpy at 0 K at -390 meV per atom. Its space group is F-43m. The total energy is -5.925 eV/atom.



This record from the Alexandria database describes a geometry-optimized DyLuScAl structure. The functional is GGA-PBE. Values from VASP.

Structure (Quantum ESPRESSO input):
```
&SYSTEM
  ibrav = 0, nat = 4, ntyp = 4
/
ATOMIC_SPECIES
Dy 162.50 Dy.upf
Lu 174.97 Lu.upf
Sc 44.96 Sc.upf
Al 26.98 Al.upf
CELL_PARAMETERS angstrom
0.000 3.669 3.669
3.669 0.000 3.669
3.669 3.669 0.000
ATOMIC_POSITIONS crystal
Dy 0.000 0.000 0.000
Lu 0.500 0.500 0.500
Sc 0.750 0.750 0.750
Al 0.250 0.250 0.250
```

Output
As for the calculated volume: 24.7 A^3/atom. The calculation puts the formation enthalpy at 0 K at -105 meV per atom. Its space group is F-43m. The total energy is -4.904 eV/atom.



This record from the Alexandria database describes a geometry-optimized SmDyLuAl structure. The functional is GGA-PBE. Values from VASP.

Structure (Quantum ESPRESSO input):
```
&SYSTEM
  ibrav = 0, nat = 4, ntyp = 4
/
ATOMIC_SPECIES
Sm 150.36 Sm.upf
Dy 162.50 Dy.upf
Lu 174.97 Lu.upf
Al 26.98 Al.upf
CELL_PARAMETERS angstrom
0.000 3.779 3.779
3.779 0.000 3.779
3.779 3.779 0.000
ATOMIC_POSITIONS crystal
Sm 0.000 0.000 0.000
Dy 0.500 0.500 0.500
Lu 0.750 0.750 0.750
Al 0.250 0.250 0.250
```

Output
As for the calculated volume: 27.0 A^3/atom. The calculation puts the formation enthalpy at 0 K at -80 meV per atom. Its space group is F-43m. The total energy is -4.476 eV/atom.



This record from the Alexandria database describes a geometry-optimized TbDyLuAl structure. The functional is GGA-PBE. Values from VASP.

Structure (Quantum ESPRESSO input):
```
&SYSTEM
  ibrav = 0, nat = 4, ntyp = 4
/
ATOMIC_SPECIES
Tb 158.93 Tb.upf
Dy 162.50 Dy.upf
Lu 174.97 Lu.upf
Al 26.98 Al.upf
CELL_PARAMETERS angstrom
0.000 3.756 3.756
3.756 0.000 3.756
3.756 3.756 0.000
ATOMIC_POSITIONS crystal
Tb 0.000 0.000 0.000
Dy 0.500 0.500 0.500
Lu 0.250 0.250 0.250
Al 0.750 0.750 0.750
```

Output
As for the calculated volume: 26.5 A^3/atom. The calculation puts the formation enthalpy at 0 K at -81 meV per atom. Its space group is F-43m. The total energy is -4.455 eV/atom.



This record from the Alexandria database describes a geometry-optimized DyLuTiAl structure. The functional is GGA-PBE. Values from VASP.

Structure (Quantum ESPRESSO input):
```
&SYSTEM
  ibrav = 0, nat = 4, ntyp = 4
/
ATOMIC_SPECIES
Dy 162.50 Dy.upf
Lu 174.97 Lu.upf
Ti 47.87 Ti.upf
Al 26.98 Al.upf
CELL_PARAMETERS angstrom
0.000 3.602 3.602
3.602 0.000 3.602
3.602 3.602 0.000
ATOMIC_POSITIONS crystal
Dy 0.000 0.000 0.000
Lu 0.500 0.500 0.500
Ti 0.750 0.750 0.750
Al 0.250 0.250 0.250
```

Output
As for the calculated volume: 23.4 A^3/atom. The calculation puts the formation enthalpy at 0 K at -56 meV per atom. Its space group is F-43m. The total energy is -5.246 eV/atom.



This record from the Alexandria database describes a geometry-optimized DyLuAlTl structure. The functional is GGA-PBE. Values from VASP.

Structure (Quantum ESPRESSO input):
```
&SYSTEM
  ibrav = 0, nat = 4, ntyp = 4
/
ATOMIC_SPECIES
Dy 162.50 Dy.upf
Lu 174.97 Lu.upf
Al 26.98 Al.upf
Tl 204.38 Tl.upf
CELL_PARAMETERS angstrom
0.000 3.678 3.678
3.678 0.000 3.678
3.678 3.678 0.000
ATOMIC_POSITIONS crystal
Dy 0.000 0.000 0.000
Lu 0.500 0.500 0.500
Al 0.250 0.250 0.250
Tl 0.750 0.750 0.750
```

Output
As for the calculated volume: 24.9 A^3/atom. The calculation puts the formation enthalpy at 0 K at -306 meV per atom. Its space group is F-43m. The total energy is -4.114 eV/atom.



This record from the Alexandria database describes a geometry-optimized DyLuAlZn structure. The functional is GGA-PBE. Values from VASP.

Structure (Quantum ESPRESSO input):
```
&SYSTEM
  ibrav = 0, nat = 4, ntyp = 4
/
ATOMIC_SPECIES
Dy 162.50 Dy.upf
Lu 174.97 Lu.upf
Al 26.98 Al.upf
Zn 65.41 Zn.upf
CELL_PARAMETERS angstrom
0.000 3.552 3.552
3.552 0.000 3.552
3.552 3.552 0.000
ATOMIC_POSITIONS crystal
Dy 0.000 0.000 0.000
Lu 0.500 0.500 0.500
Al 0.750 0.750 0.750
Zn 0.250 0.250 0.250
```

Output
As for the calculated volume: 22.4 A^3/atom. The calculation puts the formation enthalpy at 0 K at -369 meV per atom. Its space group is F-43m. The total energy is -3.904 eV/atom.



This record from the Alexandria database describes a geometry-optimized Dy5Mg4Al structure. The functional is GGA-PBE. Values from VASP.

Structure (Quantum ESPRESSO input):
```
&SYSTEM
  ibrav = 0, nat = 10, ntyp = 3
/
ATOMIC_SPECIES
Dy 162.50 Dy.upf
Mg 24.30 Mg.upf
Al 26.98 Al.upf
CELL_PARAMETERS angstrom
3.715 0.000 0.000
0.000 3.715 0.000
0.000 0.000 19.105
ATOMIC_POSITIONS crystal
Dy 0.000 0.000 0.000
Dy 0.000 0.000 0.204
Dy 0.000 0.000 0.409
Dy 0.000 0.000 0.591
Dy 0.000 0.000 0.796
Mg 0.500 0.500 0.102
Mg 0.500 0.500 0.305
Mg 0.500 0.500 0.695
Mg 0.500 0.500 0.898
Al 0.500 0.500 0.500
```

Output
As for the calculated volume: 26.4 A^3/atom. The calculation puts the formation enthalpy at 0 K at -148 meV per atom. Its space group is P4/mmm. The total energy is -3.461 eV/atom.



This record from the Alexandria database describes a geometry-optimized DyMg11Al structure. The functional is GGA-PBE. Values from VASP.

Structure (Quantum ESPRESSO input):
```
&SYSTEM
  ibrav = 0, nat = 13, ntyp = 3
/
ATOMIC_SPECIES
Dy 162.50 Dy.upf
Mg 24.30 Mg.upf
Al 26.98 Al.upf
CELL_PARAMETERS angstrom
2.920 -7.196 0.000
2.920 7.196 0.000
-2.818 0.000 7.134
ATOMIC_POSITIONS crystal
Dy 0.000 0.000 0.000
Mg 0.000 0.000 0.500
Mg 0.000 0.500 0.000
Mg 0.006 0.352 0.354
Mg 0.292 0.500 0.787
Mg 0.352 0.006 0.354
Mg 0.500 0.000 0.000
Mg 0.500 0.292 0.787
Mg 0.500 0.708 0.213
Mg 0.648 0.994 0.646
Mg 0.708 0.500 0.213
Mg 0.994 0.648 0.646
Al 0.500 0.500 0.500
```

Output
As for the calculated volume: 23.1 A^3/atom. The calculation puts the formation enthalpy at 0 K at -28 meV per atom. Its space group is C2/m. The total energy is -2.019 eV/atom.



This record from the Alexandria database describes a geometry-optimized DyMgAl2 structure. The functional is GGA-PBE. Values from VASP.

Structure (Quantum ESPRESSO input):
```
&SYSTEM
  ibrav = 0, nat = 4, ntyp = 3
/
ATOMIC_SPECIES
Dy 162.50 Dy.upf
Mg 24.30 Mg.upf
Al 26.98 Al.upf
CELL_PARAMETERS angstrom
4.400 0.000 0.000
0.000 4.400 0.000
0.000 0.000 4.323
ATOMIC_POSITIONS crystal
Dy 0.000 0.000 0.000
Mg 0.500 0.500 0.000
Al 0.000 0.500 0.500
Al 0.500 0.000 0.500
```

Output
As for the calculated volume: 20.9 A^3/atom. The calculation puts the formation enthalpy at 0 K at -327 meV per atom. Its space group is P4/mmm. The total energy is -3.747 eV/atom.



This record from the Alexandria database describes a geometry-optimized Dy12Mg2Al5 structure. The functional is GGA-PBE. Values from VASP.

Structure (Quantum ESPRESSO input):
```
&SYSTEM
  ibrav = 0, nat = 19, ntyp = 3
/
ATOMIC_SPECIES
Dy 162.50 Dy.upf
Mg 24.30 Mg.upf
Al 26.98 Al.upf
CELL_PARAMETERS angstrom
6.195 -5.304 0.000
6.195 5.304 0.000
-2.398 0.000 7.860
ATOMIC_POSITIONS crystal
Dy 0.018 0.332 0.823
Dy 0.099 0.099 0.175
Dy 0.161 0.620 0.592
Dy 0.332 0.018 0.823
Dy 0.380 0.839 0.408
Dy 0.387 0.387 0.260
Dy 0.613 0.613 0.740
Dy 0.620 0.161 0.592
Dy 0.668 0.982 0.177
Dy 0.839 0.380 0.408
Dy 0.901 0.901 0.825
Dy 0.982 0.668 0.177
Mg 0.284 0.716 0.000
Mg 0.716 0.284 0.000
Al 0.000 0.000 0.500
Al 0.233 0.233 0.540
Al 0.390 0.390 0.847
Al 0.610 0.610 0.153
Al 0.767 0.767 0.460
```

Output
As for the calculated volume: 27.2 A^3/atom. The calculation puts the formation enthalpy at 0 K at -145 meV per atom. Its space group is C2/m. The total energy is -4.204 eV/atom.



This record from the Alexandria database describes a geometry-optimized Dy8Mg2Al structure. The functional is GGA-PBE. Values from VASP.

Structure (Quantum ESPRESSO input):
```
&SYSTEM
  ibrav = 0, nat = 11, ntyp = 3
/
ATOMIC_SPECIES
Dy 162.50 Dy.upf
Mg 24.30 Mg.upf
Al 26.98 Al.upf
CELL_PARAMETERS angstrom
8.921 -2.661 0.000
8.921 2.661 0.000
-2.088 0.000 6.746
ATOMIC_POSITIONS crystal
Dy 0.020 0.020 0.270
Dy 0.192 0.192 0.773
Dy 0.338 0.338 0.545
Dy 0.405 0.405 0.051
Dy 0.595 0.595 0.949
Dy 0.662 0.662 0.455
Dy 0.808 0.808 0.227
Dy 0.980 0.980 0.730
Mg 0.186 0.186 0.203
Mg 0.814 0.814 0.797
Al 0.500 0.500 0.500
```

Output
As for the calculated volume: 29.1 A^3/atom. The calculation puts the formation enthalpy at 0 K at -10 meV per atom. Its space group is C2/m. The total energy is -3.987 eV/atom.



This record from the Alexandria database describes a geometry-optimized Dy2MgAl structure. The functional is GGA-PBE. Values from VASP.

Structure (Quantum ESPRESSO input):
```
&SYSTEM
  ibrav = 0, nat = 4, ntyp = 3
/
ATOMIC_SPECIES
Dy 162.50 Dy.upf
Mg 24.30 Mg.upf
Al 26.98 Al.upf
CELL_PARAMETERS angstrom
3.669 0.000 0.000
0.000 3.669 0.000
0.000 0.000 7.492
ATOMIC_POSITIONS crystal
Dy 0.000 0.000 0.236
Dy 0.000 0.000 0.764
Mg 0.500 0.500 0.500
Al 0.500 0.500 0.000
```

Output
As for the calculated volume: 25.2 A^3/atom. The calculation puts the formation enthalpy at 0 K at -256 meV per atom. Its space group is P4/mmm. The total energy is -3.892 eV/atom.